A relaxed structure of Mg2ScBiF, computed with PBE.

- DOS at the Fermi energy (states/eV per cell) = 2.25
- E_tot (eV per atom) = -2.85

abc: 5.945 5.945 5.388
angles: 90.00 90.00 90.00
Space group P4/mmm (No. 123)
One atom of each set of equivalent atoms:
Mg: 0.000 0.500 0.000
Sc: 0.000 0.000 0.000
Bi: 0.000 0.000 0.500
F: 0.500 0.500 0.500